# Hf6Bi2Se

An optimized crystal structure of Hf6Bi2Se (PBE-GGA, the Alexandria database).

Cell lengths 6.0681, 7.0822, 9.6367 Å; angles 90.00, 90.42, 90.00 degrees
Fractional coordinates of all 18 atoms:
1 Hf 0.8697 0.9801 0.2384
2 Hf 0.8402 0.6571 0.5266
3 Hf 0.8732 0.7355 0.9614
4 Hf 0.6268 0.2355 0.5386
5 Hf 0.6598 0.1571 0.9734
6 Hf 0.6303 0.4801 0.2616
7 Hf 0.1303 0.0199 0.7616
8 Hf 0.1598 0.3429 0.4734
9 Hf 0.1268 0.2645 0.0386
10 Hf 0.3732 0.7645 0.4614
11 Hf 0.3402 0.8429 0.0266
12 Hf 0.3697 0.5199 0.7384
13 Bi 0.9079 0.3990 0.7684
14 Bi 0.5921 0.8990 0.7316
15 Bi 0.4079 0.1010 0.2684
16 Bi 0.0921 0.6010 0.2316
17 Se 0.5000 0.5000 0.0000
18 Se 0.0000 0.0000 0.5000

Output
SG = P2_1/c, No. 14
Total magnetization = 0.00 μB/f.u.
Formation energy (no corrections) = -206 meV/atom